Ca3Se | the Alexandria database | GGA-PBE | optimized geometry; E_tot = -0.2411 Ry per atom; formation energy (no corrections) = -907 meV/atom; energy above the most stable polymorph in this dataset = 0 meV per atom; D(E_F) = 3.483 states/eV/cell; space-group type = R-3m, No. 166
1.0
10.369 0.011 0.006
9.579 3.970 0.006
9.579 1.911 3.479
Ca Se
3 1
direct
0.726 0.726 0.726
0.500 0.500 0.500
0.274 0.274 0.274
0.000 0.000 0.000

SrGaSn | the Alexandria database | GGA-PBE | optimized geometry; E_form = -8.140 kcal/mol of atoms; E_tot = -0.2394 Ry per atom; energy above the most stable polymorph in this dataset = 194 meV per atom; D(E_F) = 2.666 states/eV/cell; space-group type = F-43m, No. 216
1.0
-3.268 -3.812 0.578
-1.546 -2.636 -4.026
1.542 -4.770 -0.642
Sr Sn Ga
1 1 1
direct
0.000 0.000 0.000
0.500 0.500 0.500
0.250 0.250 0.250

SmTh3 | the Alexandria database | GGA-PBE | optimized geometry; E_form = 1.365 kcal/mol of atoms; E_tot = -0.4914 Ry per atom; energy above the most stable polymorph in this dataset = 10 meV per atom; D(E_F) = 6.745 states/eV/cell; space-group type = I4/mmm, No. 139
1.0
-3.995 0.983 2.945
-2.875 -2.984 -2.904
4.610 -2.976 2.902
Sm Th
1 3
direct
0.000 0.000 0.000
0.750 0.250 0.500
0.250 0.750 0.500
0.500 0.500 0.000

Pu2SiTc3 | the Alexandria database | GGA-PBE | optimized geometry; E_tot = -0.8142 Ry per atom; formation energy (no corrections) = -214 meV/atom; D(E_F) = 17.842 states/eV/cell; space-group type = C2/m, No. 12
1.0
4.857 -0.244 -2.491
-3.159 4.455 -0.183
-0.309 0.114 5.175
Pu Si Tc
2 1 3
direct
0.754 0.374 0.128
0.246 0.626 0.872
0.000 0.000 0.000
0.500 0.500 0.500
0.000 0.000 0.500
0.500 0.000 0.500

RbAsPCl2 | the Alexandria database | GGA-PBE | optimized geometry; E_tot = -0.1634 Ry per atom; formation energy (no corrections) = 720 meV/atom; energy above the most stable polymorph in this dataset = 1163 meV per atom; D(E_F) = 10.712 states/eV/cell; space-group type = P4/mmm, No. 123
1.0
6.124 0.000 0.000
0.000 6.124 0.000
0.000 0.000 6.861
P As Rb Cl
1 1 1 2
direct
0.000 0.000 0.500
0.500 0.500 0.500
0.000 0.000 0.000
0.000 0.500 0.000
0.500 0.000 0.000

BePb | the Alexandria database | GGA-PBE | optimized geometry; E_form = 11.770 kcal/mol of atoms; E_tot = -0.2357 Ry per atom; energy above the most stable polymorph in this dataset = 207 meV per atom; D(E_F) = 1.972 states/eV/cell; space-group type = P4/nmm, No. 129
1.0
3.242 0.000 0.000
0.000 3.242 0.000
0.000 0.000 8.218
Pb Be
2 2
direct
0.250 0.250 0.719
0.750 0.750 0.281
0.250 0.250 0.050
0.750 0.750 0.950

NiRu5 | the Alexandria database | GGA-PBE | optimized geometry; E_form = 19.898 kcal/mol of atoms; E_tot = -0.5755 Ry per atom; energy above the most stable polymorph in this dataset = 815 meV per atom; D(E_F) = 10.048 states/eV/cell; space-group type = P6/mmm, No. 191
1.0
2.973 1.760 3.552
-4.560 1.856 -0.559
-1.593 -3.057 2.847
Ni Ru
1 5
direct
0.000 0.000 0.000
0.000 0.500 0.500
0.333 0.667 0.000
0.500 0.000 0.500
0.500 0.500 0.500
0.667 0.333 0.000

SrRe2Ir | the Alexandria database | GGA-PBE | optimized geometry; E_form = 14.842 kcal/mol of atoms; E_tot = -0.6039 Ry per atom; energy above the most stable polymorph in this dataset = 200 meV per atom; D(E_F) = 3.448 states/eV/cell; space-group type = P4/mmm, No. 123
1.0
2.771 0.000 0.000
0.000 2.771 0.000
0.000 0.000 9.281
Ir Re Sr
1 2 1
direct
0.500 0.500 0.750
0.000 0.000 0.958
0.000 0.000 0.542
0.500 0.500 0.250

no.,total magnetic moment (Bohr magnetons per cell),V (Å³/cell)
1,0.00,142.6
2,0.00,91.3
3,0.00,129.9
4,9.24,105.5
5,1.11,257.3
6,0.00,86.4
7,4.13,95.1
8,0.00,71.3